! La3TiSn | Alexandria via LeMat-Bulk | meta-GGA SCAN | single point on PBEsol structure; values from VASP
&SYSTEM
  ibrav = 0, nat = 5, ntyp = 3
/
ATOMIC_SPECIES
La 138.91 La.upf
Ti 47.87 Ti.upf
Sn 118.71 Sn.upf
CELL_PARAMETERS angstrom
5.321 0.000 0.000
0.000 5.321 0.000
0.000 0.000 5.321
ATOMIC_POSITIONS angstrom
La 0.000 0.000 2.661
La 0.000 2.661 0.000
La 2.661 0.000 0.000
Ti 0.000 0.000 0.000
Sn 2.661 2.661 2.661
! - Energy of formation: 0.4 eV per formula unit

---

! Sn2RuPbSe | Alexandria via LeMat-Bulk | meta-GGA SCAN | single point on PBEsol structure; values from VASP
&SYSTEM
  ibrav = 0, nat = 5, ntyp = 4
/
ATOMIC_SPECIES
Sn 118.71 Sn.upf
Ru 101.07 Ru.upf
Pb 207.20 Pb.upf
Se 78.96 Se.upf
CELL_PARAMETERS angstrom
5.611 0.000 0.000
0.000 5.611 0.000
0.000 0.000 5.253
ATOMIC_POSITIONS angstrom
Sn 0.000 2.805 0.000
Sn 2.805 0.000 0.000
Ru 0.000 0.000 2.627
Pb 2.805 2.805 0.000
Se 2.805 2.805 2.627
! - Formation energy from raw total energies: 1.49 eV per atom

---

Number 1: Fermi-level density of states 4.06 states/eV/f.u., electronic total energy -36.1765 eV per atom. Number 2: Fermi-level density of states 4.56 states/eV/f.u., electronic total energy -39.0162 eV per atom.